No. 1
VASP calculation (PBE-GGA) on a relaxed structure of Pr6Si2BiI3.

```
Pr6Si2BiI3
1.0
4.4460 0.0000 0.0000
0.0000 9.3037 0.1167
-2.2230 -2.8969 9.6396
Pr Si Bi I
6 2 1 3
Direct
0.3314 0.8630 0.6629 Pr
0.6777 0.5592 0.3555 Pr
0.6686 0.1370 0.3371 Pr
0.0227 0.2528 0.0455 Pr
0.9773 0.7472 0.9545 Pr
0.3223 0.4408 0.6445 Pr
0.8297 0.6579 0.6594 Si
0.1703 0.3421 0.3406 Si
0.5000 0.0000 0.0000 Bi
0.5000 0.5000 0.0000 I
0.8372 0.1644 0.6743 I
0.1628 0.8356 0.3257 I
```

Summary:
formation energy from raw total energies = -0.96 eV per atom
space-group type = C2/m (12)

***

No. 2
VASP calculation (PBE-GGA) on a relaxed structure of PrSmBiI.

```
PrSmBiI
1.0
5.5765 0.0000 0.0000
2.7882 4.8294 0.0000
2.7882 1.6098 4.5532
Pr I Bi Sm
1 1 1 1
Direct
0.2500 0.2500 0.2500 Pr
0.0000 0.0000 0.0000 I
0.5000 0.5000 0.5000 Bi
0.7500 0.7500 0.7500 Sm
```

Summary:
formation energy from raw total energies = -0.84 eV per atom
space-group type = F-43m (216)

***

No. 3
VASP calculation (PBE-GGA) on a relaxed structure of TbPrBiI.

```
TbPrBiI
1.0
5.5428 0.0000 0.0000
2.7714 4.8002 0.0000
2.7714 1.6001 4.5257
Pr I Tb Bi
1 1 1 1
Direct
0.7500 0.7500 0.7500 Pr
0.0000 0.0000 0.0000 I
0.2500 0.2500 0.2500 Tb
0.5000 0.5000 0.5000 Bi
```

Summary:
formation energy from raw total energies = -0.79 eV per atom
space-group type = F-43m (216)